1.
{
  "formula": "Cu3AsSe4",
  "functional": "GGA-PBE",
  "state": "relaxed",
  "lattice_angstrom": [[7.870, 0.000, 0.000], [0.000, 6.810, 0.000], [0.000, 0.000, 6.519]],
  "species": ["Cu", "Cu", "Cu", "Cu", "Cu", "Cu", "As", "As", "Se", "Se", "Se", "Se", "Se", "Se", "Se", "Se"],
  "frac_coords": [[0.000, 0.161, 0.000], [0.248, 0.327, 0.507], [0.252, 0.673, 0.007], [0.500, 0.839, 0.500], [0.748, 0.673, 0.007], [0.752, 0.327, 0.507], [0.000, 0.831, 0.502], [0.500, 0.169, 0.002], [0.000, 0.168, 0.371], [0.000, 0.826, 0.882], [0.244, 0.341, 0.876], [0.256, 0.659, 0.376], [0.500, 0.174, 0.382], [0.500, 0.832, 0.871], [0.744, 0.659, 0.376], [0.756, 0.341, 0.876]],
  "spacegroup": "Pmn2_1",
  "volume_a3_per_atom": 21.83,
  "dft_energy_ev_per_atom": -3.86
}

=====

2.
{
  "formula": "CuAsSe",
  "functional": "GGA-PBE",
  "state": "relaxed",
  "lattice_angstrom": [[4.826, 0.000, 0.000], [-2.413, 4.180, 0.000], [0.000, 0.000, 2.728]],
  "species": ["Cu", "As", "Se"],
  "frac_coords": [[0.000, 0.000, 0.000], [0.333, 0.667, 0.000], [0.667, 0.333, 0.000]],
  "spacegroup": "P-6m2",
  "volume_a3_per_atom": 18.34,
  "dft_energy_ev_per_atom": -3.62
}

=====

3.
{
  "formula": "CuAsSe2",
  "functional": "GGA-PBE",
  "state": "relaxed",
  "lattice_angstrom": [[12.730, 0.000, 0.000], [0.000, 5.327, 0.000], [-2.015, 0.000, 4.942]],
  "species": ["Cu", "Cu", "Cu", "Cu", "As", "As", "As", "As", "Se", "Se", "Se", "Se", "Se", "Se", "Se", "Se"],
  "frac_coords": [[0.000, 0.231, 0.000], [0.000, 0.769, 0.500], [0.500, 0.269, 0.500], [0.500, 0.731, 0.000], [0.251, 0.250, 0.755], [0.251, 0.750, 0.255], [0.751, 0.250, 0.255], [0.751, 0.750, 0.755], [0.048, 0.249, 0.571], [0.048, 0.751, 0.071], [0.296, 0.250, 0.324], [0.296, 0.750, 0.824], [0.548, 0.251, 0.071], [0.548, 0.749, 0.571], [0.796, 0.250, 0.824], [0.796, 0.750, 0.324]],
  "spacegroup": "Cc",
  "volume_a3_per_atom": 20.94,
  "dft_energy_ev_per_atom": -3.88
}

=====

4.
{
  "formula": "Cu3AsSe4",
  "functional": "GGA-PBE",
  "state": "relaxed",
  "lattice_angstrom": [[12.466, 0.000, 0.000], [0.000, 5.613, 0.000], [-2.520, 0.000, 5.019]],
  "species": ["Cu", "Cu", "Cu", "Cu", "Cu", "Cu", "As", "As", "Se", "Se", "Se", "Se", "Se", "Se", "Se", "Se"],
  "frac_coords": [[0.000, 0.000, 0.000], [0.250, 0.002, 0.749], [0.250, 0.502, 0.251], [0.500, 0.500, 0.000], [0.750, 0.002, 0.251], [0.750, 0.502, 0.749], [0.000, 0.503, 0.500], [0.500, 0.003, 0.500], [0.129, 0.245, 0.373], [0.130, 0.757, 0.887], [0.370, 0.257, 0.113], [0.371, 0.745, 0.627], [0.629, 0.745, 0.373], [0.630, 0.257, 0.887], [0.870, 0.757, 0.113], [0.871, 0.245, 0.627]],
  "spacegroup": "C2",
  "volume_a3_per_atom": 21.95,
  "dft_energy_ev_per_atom": -3.88
}

=====

5.
{
  "formula": "SmCuAs",
  "functional": "GGA-PBE",
  "state": "relaxed",
  "lattice_angstrom": [[6.303, 0.000, 0.000], [0.000, 6.303, 0.000], [0.000, 0.000, 6.303]],
  "species": ["Sm", "Sm", "Sm", "Sm", "Cu", "Cu", "Cu", "Cu", "As", "As", "As", "As"],
  "frac_coords": [[0.000, 0.000, 0.000], [0.000, 0.500, 0.500], [0.500, 0.000, 0.500], [0.500, 0.500, 0.000], [0.250, 0.250, 0.750], [0.250, 0.750, 0.250], [0.750, 0.250, 0.250], [0.750, 0.750, 0.750], [0.000, 0.000, 0.500], [0.000, 0.500, 0.000], [0.500, 0.000, 0.000], [0.500, 0.500, 0.500]],
  "spacegroup": "F-43m",
  "volume_a3_per_atom": 20.86,
  "dft_energy_ev_per_atom": -4.96
}

=====

6.
{
  "formula": "SmCuAs",
  "functional": "GGA-PBE",
  "state": "relaxed",
  "lattice_angstrom": [[6.701, 0.000, 0.000], [0.000, 6.701, 0.000], [0.000, 0.000, 6.701]],
  "species": ["Sm", "Sm", "Sm", "Sm", "Cu", "Cu", "Cu", "Cu", "As", "As", "As", "As"],
  "frac_coords": [[0.000, 0.000, 0.000], [0.000, 0.500, 0.500], [0.500, 0.000, 0.500], [0.500, 0.500, 0.000], [0.250, 0.250, 0.250], [0.250, 0.750, 0.750], [0.750, 0.250, 0.750], [0.750, 0.750, 0.250], [0.250, 0.250, 0.750], [0.250, 0.750, 0.250], [0.750, 0.250, 0.250], [0.750, 0.750, 0.750]],
  "spacegroup": "F-43m",
  "volume_a3_per_atom": 25.07,
  "dft_energy_ev_per_atom": -4.67
}